No. 1
DFT (PBE) results for an optimized crystal structure of BeIrRh2.

Cell lengths 2.758, 2.758, 6.632 Å; angles 90.00, 90.00, 90.00 degrees
Sites, in units of the cell vectors:
Be1 0.000 0.000 0.499
Ir1 0.500 0.500 0.711
Rh1 0.000 0.000 0.999
Rh2 0.500 0.500 0.291

Computed properties:
calculated density: 13.40 g/cm³
DOS at the Fermi energy: 4.3 states/eV per cell
VASP energy: -7.081 eV per atom

No. 2
DFT (PBE) results for an optimized crystal structure of BeIrRh2.

Cell lengths 3.633, 3.633, 9.037 Å; angles 78.40, 78.40, 90.00 degrees
Sites, in units of the cell vectors:
Be1 0.500 0.500 0.000
Be2 0.250 0.750 0.500
Ir1 0.000 0.000 0.000
Ir2 0.750 0.250 0.500
Rh1 0.614 0.125 0.250
Rh2 0.136 0.625 0.250
Rh3 0.375 0.386 0.750
Rh4 0.875 0.864 0.750

Computed properties:
calculated density: 11.82 g/cm³
DOS at the Fermi energy: 10.2 states/eV per cell
VASP energy: -6.488 eV per atom

No. 3
DFT (PBE) results for an optimized crystal structure of BeIrRh2.

Cell lengths 4.594, 4.594, 4.594 Å; angles 132.05, 132.05, 70.15 degrees
Sites, in units of the cell vectors:
Be1 0.250 0.750 0.500
Ir1 0.750 0.250 0.500
Rh1 0.000 0.000 0.000
Rh2 0.500 0.500 0.000

Computed properties:
calculated density: 12.90 g/cm³
DOS at the Fermi energy: 2.7 states/eV per cell
VASP energy: -6.985 eV per atom

No. 4
DFT (PBE) results for an optimized crystal structure of BeIrRh2.

Cell lengths 2.725, 3.637, 5.316 Å; angles 90.00, 90.00, 90.00 degrees
Sites, in units of the cell vectors:
Be1 0.000 0.000 0.501
Ir1 0.500 0.500 0.739
Rh1 0.000 0.000 0.996
Rh2 0.500 0.500 0.264

Computed properties:
calculated density: 12.83 g/cm³
DOS at the Fermi energy: 3.9 states/eV per cell
VASP energy: -6.905 eV per atom

No. 5
DFT (PBE) results for an optimized crystal structure of Be5Ir4Rh.

Cell lengths 2.805, 2.805, 13.991 Å; angles 90.00, 90.00, 90.00 degrees
Sites, in units of the cell vectors:
Be1 0.500 0.500 0.101
Be2 0.500 0.500 0.299
Be3 0.500 0.500 0.500
Be4 0.500 0.500 0.701
Be5 0.500 0.500 0.899
Ir1 0.000 0.000 0.199
Ir2 0.000 0.000 0.400
Ir3 0.000 0.000 0.600
Ir4 0.000 0.000 0.801
Rh1 0.000 0.000 0.000

Computed properties:
calculated density: 13.83 g/cm³
DOS at the Fermi energy: 8.1 states/eV per cell
VASP energy: -6.707 eV per atom

No. 6
DFT (PBE) results for an optimized crystal structure of BeIrRh2.

Cell lengths 4.226, 4.226, 4.226 Å; angles 60.00, 60.00, 60.00 degrees
Each line ends with the local moment (μB).
Sites, in units of the cell vectors:
Be1 0.500 0.500 0.500  0.01
Ir1 0.250 0.250 0.250  0.32
Rh1 0.000 0.000 0.000  0.38
Rh2 0.750 0.750 0.750  0.26

Computed properties:
calculated density: 12.67 g/cm³
DOS at the Fermi energy: 7.0 states/eV per cell
VASP energy: -6.718 eV per atom

No. 7
DFT (PBE) results for an optimized crystal structure of BeIr4Rh.

Cell lengths 5.108, 5.108, 5.108 Å; angles 60.00, 60.00, 60.00 degrees
Sites, in units of the cell vectors:
Be1 0.000 0.000 0.000
Ir1 0.875 0.375 0.375
Ir2 0.375 0.375 0.875
Ir3 0.375 0.875 0.375
Ir4 0.375 0.375 0.375
Rh1 0.750 0.750 0.750

Computed properties:
calculated density: 15.52 g/cm³
DOS at the Fermi energy: 11.4 states/eV per cell
VASP energy: -7.103 eV per atom

No. 8
DFT (PBE) results for an optimized crystal structure of BeIrRh2.

Cell lengths 2.711, 2.711, 8.291 Å; angles 80.59, 80.59, 60.00 degrees
Sites, in units of the cell vectors:
Be1 0.666 0.666 0.002
Ir1 0.500 0.500 0.499
Rh1 0.074 0.074 0.777
Rh2 0.259 0.259 0.222

Computed properties:
calculated density: 13.04 g/cm³
DOS at the Fermi energy: 3.6 states/eV per cell
VASP energy: -6.964 eV per atom